(1)
NaGdSn2: relaxed, GGA-PBE.

## Properties
* calculated density: 6.7 g cm⁻³
* energy of formation: -0.4713 eV/atom

Unit cell a=4.7811 b=4.7811 c=4.5546 alpha=90.00 beta=90.00 gamma=90.00
Closest atoms and distances in Å follow each position.
Space group P4/mmm (No. 123)
Inequivalent atoms, fractional coordinates:
Na  0.0000  0.0000  0.0000 (multiplicity 1)  8 Sn 3.30, 4 Gd 3.38
Gd  0.5000  0.5000  0.0000 (multiplicity 1)  8 Sn 3.30, 4 Na 3.38
Sn  0.0000  0.5000  0.5000 (multiplicity 2)  4 Gd 3.30, 4 Na 3.30, 4 Sn 3.38

(2)
NaGdSn2: relaxed, GGA-PBE.

## Properties
* calculated density: 6.4 g cm⁻³
* energy of formation: -0.4212 eV/atom

Unit cell a=3.4134 b=3.4134 c=9.3489 alpha=90.00 beta=90.00 gamma=90.00
Closest atoms and distances in Å follow each position.
Space group P4/mmm (No. 123)
Inequivalent atoms, fractional coordinates:
Na  0.0000  0.0000  0.0000 (multiplicity 1)  8 Sn 3.39, 4 Na 3.41
Gd  0.0000  0.0000  0.5000 (multiplicity 1)  8 Sn 3.33, 4 Gd 3.41
Sn  0.5000  0.5000  0.2552 (multiplicity 2)  4 Gd 3.33, 4 Na 3.39, 4 Sn 3.41

(3)
NaGd2Sn: relaxed, GGA-PBE.

## Properties
* calculated density: 6.8 g cm⁻³
* energy of formation: -0.3177 eV/atom

Unit cell a=5.0080 b=5.0080 c=4.4583 alpha=90.00 beta=90.00 gamma=90.00
Closest atoms and distances in Å follow each position.
Space group P4/mmm (No. 123)
Inequivalent atoms, fractional coordinates:
Na  0.0000  0.0000  0.0000 (multiplicity 1)  8 Gd 3.35, 4 Sn 3.54
Gd  0.0000  0.5000  0.5000 (multiplicity 2)  4 Sn 3.35, 4 Na 3.35, 4 Gd 3.54
Sn  0.5000  0.5000  0.0000 (multiplicity 1)  8 Gd 3.35, 4 Na 3.54